Density functional theory data (PBE) for a relaxed structure of As3PO.

Cell: 4.693 4.693 4.693 Å, 90.00 90.00 90.00°
Space group Pm-3m (No. 221)
Asymmetric unit:
As1 0.000 0.000 0.500 [3 per cell]
P1 0.000 0.000 0.000 [1 per cell]
O1 0.500 0.500 0.500 [1 per cell]

Summary:
Calculated total energy = -3.701 eV/atom
Formation energy from raw total energies = 112 kJ/mol of atoms